Compound: Nd2SmBi
Source: the Alexandria database
Functional: GGA-PBE
Structure: relaxed

**Distance to the lowest polymorph of the same formula**: 0 meV per atom
**Density**: 8.17 g cm⁻³
**Calculated formation energy**: -1.7 eV/f.u.
**Density of states at the Fermi level**: 8.691 states/eV/cell
**Uncorrected energy**: -39.76 eV for the cell shown

Lattice parameters (Å, degrees): 4.7055 4.6989 12.1433 90.00 101.15 90.00
Atoms (fractional coordinates):
Nd  0.5657  0.2500  0.1311
Nd  0.4343  0.7500  0.8689
Nd  0.0599  0.7500  0.1196
Nd  0.9401  0.2500  0.8804
Sm  0.6937  0.7500  0.3876
Sm  0.3063  0.2500  0.6124
Bi  0.1705  0.2500  0.3412
Bi  0.8295  0.7500  0.6588

Compound: NdSm8Bi6
Source: the Alexandria database
Functional: GGA-PBE
Structure: relaxed

**Density**: 8.31 g cm⁻³
**Calculated formation energy**: -8.7 eV/f.u.
**Density of states at the Fermi level**: 15.697 states/eV/cell
**Uncorrected energy**: -74.55 eV for the cell shown

Lattice parameters (Å, degrees): 8.2927 8.2927 9.9551 65.39 65.39 60.00
Atoms (fractional coordinates):
Nd  0.0000  0.0000  0.0000
Sm  0.5472  0.2089  0.3675
Sm  0.7911  0.1235  0.6325
Sm  0.1235  0.4528  0.6325
Sm  0.6666  0.6666  0.0002
Sm  0.3334  0.3334  0.9998
Sm  0.8765  0.5472  0.3675
Sm  0.2089  0.8765  0.3675
Sm  0.4528  0.7911  0.6325
Bi  0.4036  0.0665  0.7984
Bi  0.9335  0.2685  0.2016
Bi  0.2685  0.5964  0.2016
Bi  0.7315  0.4036  0.7984
Bi  0.0665  0.7315  0.7984
Bi  0.5964  0.9335  0.2016

Compound: NdSmBi
Source: the Alexandria database
Functional: GGA-PBE
Structure: relaxed

**Density**: 9.01 g cm⁻³
**Calculated formation energy**: -1.6 eV/f.u.
**Density of states at the Fermi level**: 6.417 states/eV/cell
**Uncorrected energy**: -29.87 eV for the cell shown

Lattice parameters (Å, degrees): 5.9455 4.2031 12.0706 110.37 89.99 135.00
Atoms (fractional coordinates):
Nd  0.6569  0.3139  0.4058
Nd  0.3431  0.6861  0.5942
Sm  0.3420  0.6838  0.0928
Sm  0.6580  0.3162  0.9072
Bi  0.0036  0.0072  0.7537
Bi  0.9964  0.9928  0.2463

Compound: Nd3Sm2Bi4
Source: the Alexandria database
Functional: GGA-PBE
Structure: relaxed

**Density**: 8.85 g cm⁻³
**Calculated formation energy**: -6.6 eV/f.u.
**Density of states at the Fermi level**: 6.845 states/eV/cell
**Uncorrected energy**: -45.83 eV for the cell shown

Lattice parameters (Å, degrees): 4.8307 8.1190 10.6603 130.12 90.00 107.31
Atoms (fractional coordinates):
Nd  0.6538  0.3076  0.7213
Nd  0.0000  0.0000  0.0000
Nd  0.3462  0.6924  0.2787
Sm  0.6497  0.2994  0.3327
Sm  0.3503  0.7006  0.6673
Bi  0.6566  0.3132  0.0336
Bi  0.3434  0.6868  0.9664
Bi  0.9432  0.8864  0.5957
Bi  0.0568  0.1136  0.4043